Below is a relaxed structure of ErBi3Te6, with properties calculated at the PBE level.

```
ErBi3Te6
1.0
13.094 0.000 0.000
0.000 4.365 0.000
-4.451 0.000 12.452
Er Bi Te
2 6 12
Direct
0.191 0.250 0.040 Er
0.809 0.750 0.960 Er
0.034 0.750 0.298 Bi
0.339 0.250 0.438 Bi
0.401 0.750 0.851 Bi
0.599 0.250 0.149 Bi
0.661 0.750 0.562 Bi
0.966 0.250 0.702 Bi
0.032 0.750 0.903 Te
0.118 0.250 0.469 Te
0.235 0.250 0.811 Te
0.235 0.750 0.235 Te
0.387 0.750 0.074 Te
0.427 0.750 0.604 Te
0.573 0.250 0.396 Te
0.613 0.250 0.926 Te
0.765 0.250 0.765 Te
0.765 0.750 0.189 Te
0.882 0.750 0.531 Te
0.968 0.250 0.097 Te
```

Summary:
E_form (uncorrected) = -0.478 eV/atom
SG = P2_1/m (11)



Below is a relaxed structure of Er4BiTe2, with properties calculated at the PBE level.

```
Er4BiTe2
1.0
-4.777 4.777 4.675
4.777 -4.777 4.675
4.777 4.777 -4.675
Er Bi Te
8 2 4
Direct
0.003 0.754 0.130 Er
0.125 0.496 0.748 Er
0.127 0.375 0.130 Er
0.246 0.997 0.870 Er
0.504 0.875 0.252 Er
0.623 0.253 0.748 Er
0.625 0.873 0.870 Er
0.747 0.377 0.252 Er
0.250 0.750 0.500 Bi
0.500 0.500 0.000 Bi
0.375 0.179 0.304 Te
0.821 0.625 0.696 Te
0.875 0.071 0.696 Te
0.929 0.125 0.304 Te
```

Summary:
E_form (uncorrected) = -0.839 eV/atom
SG = I4_122 (98)
Energy above the most stable polymorph in this dataset = 0.11 eV per formula unit